(1)
Below is a relaxed K2TbTmTe4 crystal, with properties calculated at the PBE level.

Results
Crystal system: monoclinic
Final energy, eV per atom: -4.3695
Total moment, μB/f.u.: 0.00
Calculated density, Mg/m³: 5.31
E_form (uncorrected), eV per atom: -1.39

```
K2TbTmTe4
1.0
-0.3156 2.9898 -3.3240
1.9902 -5.4828 -5.1206
-8.6070 -0.1237 0.7059
K Tb Tm Te
2 1 1 4
direct
0.5000 0.0000 0.5000
0.0000 0.5000 0.5000
0.5000 0.5000 0.0000
0.0000 0.0000 0.0000
0.5000 0.2322 0.2068
0.5000 0.7678 0.7932
0.0000 0.2605 0.7915
0.0000 0.7395 0.2085
```

***

(2)
Below is a relaxed CdInHg2 crystal, with properties calculated at the PBE level.

Results
N(E_F), states/eV per atom: 0.397
Crystal system: tetragonal
Calculated formation energy, eV/f.u.: 0.14
Final energy, eV per atom: -1.0289
Total moment, μB/f.u.: 0.00
Calculated density, Mg/m³: 9.67

```
CdInHg2
1.0
8.2822 0.0000 0.0000
0.0000 8.2822 0.0000
4.1411 4.1411 3.1470
Cd Hg In
2 4 2
direct
0.5000 0.5000 0.0000
0.2500 0.7500 0.5000
0.6203 0.1250 0.2500
0.1297 0.6250 0.2500
0.3750 0.3797 0.7500
0.8750 0.8703 0.7500
0.0000 0.0000 0.0000
0.7500 0.2500 0.5000
```

***

(3)
Below is a relaxed AlCu2Re crystal, with properties calculated at the PBE level.

Results
N(E_F), states/eV per atom: 0.614
Crystal system: orthorhombic
Calculated formation energy, eV/f.u.: 0.57
Final energy, eV per atom: -5.9538
Total moment, μB/f.u.: 0.00
Calculated density, Mg/m³: 10.56

```
AlCu2Re
1.0
2.6400 0.0000 0.0000
0.0000 3.8000 0.0000
0.0000 0.0000 5.3315
Re Al Cu
1 1 2
direct
0.5000 0.5000 0.2500
0.5000 0.5000 0.7500
0.0000 0.0000 0.9947
0.0000 0.0000 0.5053
```

***

(4)
Below is a relaxed Sr3Pm2PaAs6 crystal, with properties calculated at the PBE level.

Results
N(E_F), states/eV per atom: 0.805
Crystal system: monoclinic
Calculated formation energy, eV/f.u.: -14.99
Final energy, eV per atom: -5.5777
Total moment, μB/f.u.: 0.00
Calculated density, Mg/m³: 5.90

```
Sr3Pm2PaAs6
1.0
-0.7662 -7.2643 1.6537
0.4125 2.1964 -7.1483
7.2270 0.9908 2.0327
Sr Pm Pa As
3 2 1 6
direct
0.1702 0.8298 0.5000
0.8298 0.1702 0.5000
0.5000 0.5000 0.5000
0.3336 0.6664 0.0000
0.6664 0.3336 0.0000
0.0000 0.0000 0.0000
0.9259 0.6053 0.7772
0.7548 0.7548 0.2238
0.0741 0.3947 0.2228
0.6053 0.9259 0.7772
0.2452 0.2452 0.7762
0.3947 0.0741 0.2228
```

***

Question: Look up the final energy of the fourth one.
Answer: -5.5777 eV per atom

***

Question: Which formula does entry 2 have?
Answer: CdInHg2

***

Copy entry 2 word for word.
Below is a relaxed CdInHg2 crystal, with properties calculated at the PBE level.

Results
N(E_F), states/eV per atom: 0.397
Crystal system: tetragonal
Calculated formation energy, eV/f.u.: 0.14
Final energy, eV per atom: -1.0289
Total moment, μB/f.u.: 0.00
Calculated density, Mg/m³: 9.67

```
CdInHg2
1.0
8.2822 0.0000 0.0000
0.0000 8.2822 0.0000
4.1411 4.1411 3.1470
Cd Hg In
2 4 2
direct
0.5000 0.5000 0.0000
0.2500 0.7500 0.5000
0.6203 0.1250 0.2500
0.1297 0.6250 0.2500
0.3750 0.3797 0.7500
0.8750 0.8703 0.7500
0.0000 0.0000 0.0000
0.7500 0.2500 0.5000
```